(1)
AcScTeS2: relaxed, PBE-GGA.

Unit cell a=4.8329 b=4.8326 c=6.5924 alpha=90.00 beta=90.00 gamma=90.00
Last column: nearest neighbours and their distance in Å.
Fractional coordinates of all 5 atoms:
Sc  0.0000  0.0000  0.0283  4 S 2.51
S  0.5000  0.0000  0.9260  2 Sc 2.51
S  0.0000  0.5000  0.9260  2 Sc 2.51
Ac  0.5000  0.5000  0.6615  4 S 2.98
Te  0.0000  0.0000  0.4582  1 Sc 2.83

Properties
The value obtained for the density of states at the Fermi level is 0.0 states/eV/cell. The total magnetization is 0.0 μB per formula unit. As for the uncorrected formation energy: -1.80 eV per atom. The symmetry is P4mm (99).

(2)
AuBrNO2: relaxed, PBE-GGA.

Unit cell a=4.1503 b=4.1503 c=4.1683 alpha=90.00 beta=90.00 gamma=90.00
Last column: nearest neighbours and their distance in Å.
Fractional coordinates of all 5 atoms:
Au  0.0000  0.0000  0.0000  4 O 2.08, 2 N 2.08
O  0.0000  0.5000  0.0000  2 Au 2.08
Br  0.5000  0.5000  0.5000  4 N 2.93, 8 O 2.94
O  0.5000  0.0000  0.0000  2 Au 2.08
N  0.0000  0.0000  0.5000  2 Au 2.08

Properties
The value obtained for the density of states at the Fermi level is 3.7 states/eV/cell. The total magnetization is 0.2 μB per formula unit. As for the uncorrected formation energy: 1.39 eV per atom. The symmetry is P4/mmm (123).

(3)
CePr2ThBi4: relaxed, PBE-GGA.

Unit cell a=4.6198 b=7.9973 c=8.0112 alpha=109.41 beta=90.00 gamma=90.00
Last column: nearest neighbours and their distance in Å.
Fractional coordinates of all 8 atoms:
Bi  0.5000  0.2490  0.2465  1 Th 3.25, 2 Ce 3.25, 3 Pr 3.28
Pr  0.0000  0.5000  0.5000  6 Bi 3.28
Pr  0.5000  0.0000  0.5000  6 Bi 3.28
Bi  0.0000  0.7491  0.2468  1 Ce 3.25, 2 Th 3.26, 3 Pr 3.28
Bi  0.0000  0.2509  0.7532  1 Ce 3.25, 2 Th 3.26, 3 Pr 3.28
Ce  0.0000  0.0000  0.0000  6 Bi 3.25
Th  0.5000  0.5000  0.0000  6 Bi 3.25-3.26
Bi  0.5000  0.7510  0.7535  1 Th 3.25, 2 Ce 3.25, 3 Pr 3.28

Properties
The energy relative to the elements comes out at -837 meV/atom. The value obtained for the density of states at the Fermi level is 9.3 states/eV/cell. The total magnetization is 1.0 μB per formula unit. The symmetry is P2/m (10).

(4)
NbCo: relaxed, PBE-GGA.

Unit cell a=5.4318 b=5.4318 c=5.4318 alpha=90.00 beta=90.00 gamma=90.00
Last column: nearest neighbours and their distance in Å.
Fractional coordinates of all 8 atoms:
Co  0.7500  0.7500  0.2500  4 Nb 2.35
Nb  0.0000  0.0000  0.0000  4 Co 2.35
Co  0.2500  0.2500  0.2500  4 Nb 2.35
Nb  0.5000  0.5000  0.0000  4 Co 2.35
Nb  0.0000  0.5000  0.5000  4 Co 2.35
Nb  0.5000  0.0000  0.5000  4 Co 2.35
Co  0.2500  0.7500  0.7500  4 Nb 2.35
Co  0.7500  0.2500  0.7500  4 Nb 2.35

Properties
The energy relative to the elements comes out at 1062 meV/atom. The value obtained for the density of states at the Fermi level is 0.7 states/eV/cell. The total magnetization is 0.0 μB per formula unit. The symmetry is F-43m (216).

(5)
PrErGa2Au5: relaxed, PBE-GGA.

Unit cell a=4.7539 b=4.7539 c=8.4653 alpha=90.00 beta=90.00 gamma=90.00
Last column: nearest neighbours and their distance in Å.
Fractional coordinates of all 9 atoms:
Er  0.0000  0.0000  0.0000  8 Au 3.22, 8 Ga 3.58
Ga  0.5000  0.5000  0.8541  1 Ga 2.47, 4 Au 2.56
Au  0.5000  0.5000  0.5000  2 Ga 3.00, 8 Au 3.15
Au  0.5000  0.0000  0.7434  2 Ga 2.56
Pr  0.0000  0.0000  0.5000  12 Au 3.15-3.36
Ga  0.5000  0.5000  0.1459  1 Ga 2.47, 4 Au 2.56
Au  0.0000  0.5000  0.2566  2 Ga 2.56
Au  0.0000  0.5000  0.7434  2 Ga 2.56
Au  0.5000  0.0000  0.2566  2 Ga 2.56

Properties
The energy relative to the elements comes out at -501 meV/atom. The value obtained for the density of states at the Fermi level is 4.8 states/eV/cell. The total magnetization is 0.0 μB per formula unit. The symmetry is P4/mmm (123).

(6)
Pr8Sm2Ho: relaxed, PBE-GGA.

Unit cell a=9.5065 b=10.3189 c=10.3188 alpha=42.84 beta=40.11 gamma=40.11
Last column: nearest neighbours and their distance in Å.
Fractional coordinates of all 11 atoms:
Pr  0.8633  0.6499  0.2154  1 Ho 3.27, 4 Pr 3.28-3.64, 2 Sm 3.50-3.59
Pr  0.3890  0.3067  0.3067  5 Pr 3.49-3.71, 1 Ho 3.50, 1 Sm 3.50
Ho  0.0000  0.0000  0.0000  6 Pr 3.27-3.50
Pr  0.2667  0.6798  0.6798  7 Pr 3.49-3.64, 3 Sm 3.61-3.80
Pr  0.8633  0.2154  0.6499  1 Ho 3.27, 4 Pr 3.28-3.64, 2 Sm 3.50-3.59
Sm  0.6499  0.8594  0.8594  1 Sm 3.46, 8 Pr 3.50-3.80
Pr  0.6110  0.6933  0.6933  5 Pr 3.49-3.71, 1 Ho 3.50, 1 Sm 3.50
Sm  0.3501  0.1406  0.1406  1 Sm 3.46, 8 Pr 3.50-3.80
Pr  0.7333  0.3202  0.3202  7 Pr 3.49-3.64, 3 Sm 3.61-3.80
Pr  0.1367  0.3501  0.7846  1 Ho 3.27, 4 Pr 3.28-3.64, 2 Sm 3.50-3.59
Pr  0.1367  0.7846  0.3501  1 Ho 3.27, 4 Pr 3.28-3.64, 2 Sm 3.50-3.59

Properties
The energy relative to the elements comes out at 116 meV/atom. Its distance to the lowest polymorph of the same formula is 0.0 kJ/mol of atoms. The value obtained for the density of states at the Fermi level is 17.9 states/eV/cell. The total magnetization is 0.0 μB per formula unit. The symmetry is C2/m (12).

(7)
HfBiTe: relaxed, PBE-GGA.

Unit cell a=3.6048 b=3.6048 c=6.7546 alpha=105.48 beta=105.48 gamma=90.00
Last column: nearest neighbours and their distance in Å.
Fractional coordinates of all 3 atoms:
Te  0.3003  0.3003  0.6005  4 Hf 2.94
Hf  0.6832  0.6832  0.3664  4 Te 2.94
Bi  0.0166  0.0166  0.0331  4 Hf 3.29, 1 Te 3.55, 4 Bi 3.60

Properties
The value obtained for the density of states at the Fermi level is 2.4 states/eV/cell. The total magnetization is 0.0 μB per formula unit. As for the uncorrected formation energy: -0.31 eV per atom. The symmetry is I4mm (107).

(8)
Ba5Li3Au3: relaxed, PBE-GGA.

Unit cell a=5.0756 b=10.2767 c=10.2767 alpha=120.00 beta=90.00 gamma=90.00
Last column: nearest neighbours and their distance in Å.
Fractional coordinates of all 11 atoms:
Au  0.5000  0.0000  0.3728  2 Li 2.54
Li  0.0000  0.6092  0.6092  2 Au 2.54
Au  0.5000  0.3728  0.0000  2 Li 2.54
Ba  0.5000  0.2462  0.2462  2 Au 3.37
Ba  0.5000  0.6667  0.3333  3 Au 3.24
Ba  0.5000  0.0000  0.7538  2 Au 3.37
Li  0.0000  0.0000  0.3908  2 Au 2.54
Au  0.5000  0.6272  0.6272  2 Li 2.54
Ba  0.5000  0.7538  0.0000  2 Au 3.37
Li  0.0000  0.3908  0.0000  2 Au 2.54
Ba  0.5000  0.3333  0.6667  3 Au 3.24

Properties
The energy relative to the elements comes out at -307 meV/atom. The value obtained for the density of states at the Fermi level is 7.9 states/eV/cell. The total magnetization is 0.0 μB per formula unit. The symmetry is P-62m (189).

(9)
RbNiP2S: relaxed, PBE-GGA.

Unit cell a=5.4201 b=5.4201 c=5.5025 alpha=90.00 beta=90.00 gamma=90.00
Last column: nearest neighbours and their distance in Å.
Fractional coordinates of all 5 atoms:
P  0.5000  0.0000  0.0000  2 Rb 2.71
P  0.0000  0.5000  0.0000  2 Rb 2.71
S  0.0000  0.0000  0.5000  2 Rb 2.75
Ni  0.5000  0.5000  0.5000  4 S 3.83, 8 P 3.86
Rb  0.0000  0.0000  0.0000  4 P 2.71, 2 S 2.75

Properties
Its distance to the lowest polymorph of the same formula is 207.5 kJ/mol of atoms. The value obtained for the density of states at the Fermi level is 13.2 states/eV/cell. The total magnetization is 0.3 μB per formula unit. As for the uncorrected formation energy: 2.36 eV per atom. The symmetry is P4/mmm (123).

(10)
Fe2SiHg: relaxed, PBE-GGA.

Unit cell a=4.8084 b=4.8084 c=4.8084 alpha=133.66 beta=133.66 gamma=67.63
Last column: nearest neighbours and their distance in Å.
Fractional coordinates of all 4 atoms:
Hg  0.5000  0.5000  0.0000  8 Fe 2.68-2.75, 4 Si 2.75
Fe  0.2500  0.7500  0.5000  4 Si 2.68, 4 Hg 2.75, 4 Fe 2.75
Fe  0.0000  0.0000  0.0000  4 Hg 2.68, 4 Fe 2.75, 4 Si 2.75
Si  0.7500  0.2500  0.5000  8 Fe 2.68-2.75, 4 Hg 2.75

Properties
Its distance to the lowest polymorph of the same formula is 28.2 kJ/mol of atoms. The value obtained for the density of states at the Fermi level is 3.6 states/eV/cell. The total magnetization is 4.6 μB per formula unit. As for the uncorrected formation energy: 0.37 eV per atom. The symmetry is I-4m2 (119).

(11)
PaHgBr: relaxed, PBE-GGA.

Unit cell a=5.7391 b=8.0534 c=5.7454 alpha=81.29 beta=64.09 gamma=44.32
Last column: nearest neighbours and their distance in Å.
Fractional coordinates of all 6 atoms:
Hg  0.7540  0.8256  0.8965  2 Hg 3.04-3.29, 3 Br 3.14-3.37, 1 Pa 3.30
Pa  0.1958  0.2741  0.4773  1 Pa 2.63, 1 Br 2.92
Pa  0.8480  0.3497  0.2283  1 Pa 2.63, 1 Br 2.86
Br  0.4995  0.7807  0.5465  3 Pa 2.86-3.03, 1 Hg 3.14
Br  0.0241  0.9018  0.2479  2 Pa 2.94-2.97
Hg  0.4967  0.3439  0.8755  2 Hg 3.04-3.29, 4 Pa 3.28-3.38

Properties
The value obtained for the density of states at the Fermi level is 7.1 states/eV/cell. The total magnetization is 0.3 μB per formula unit. As for the uncorrected formation energy: -0.21 eV per atom. The symmetry is P1 (1).

(12)
CoNiBr2: relaxed, PBE-GGA.

Unit cell a=5.5550 b=5.5550 c=6.8229 alpha=65.98 beta=65.98 gamma=90.00
Last column: nearest neighbours and their distance in Å.
Fractional coordinates of all 8 atoms:
Br  0.8750  0.8774  0.7500  2 Ni 2.40, 2 Co 2.42
Br  0.6274  0.1250  0.2500  2 Ni 2.40, 2 Co 2.42
Br  0.3750  0.3726  0.7500  2 Ni 2.40, 2 Co 2.42
Ni  0.7500  0.2500  0.5000  4 Br 2.40
Co  0.2500  0.7500  0.5000  4 Br 2.42
Br  0.1226  0.6250  0.2500  2 Ni 2.40, 2 Co 2.42
Ni  0.0000  0.0000  0.0000  4 Br 2.40
Co  0.5000  0.5000  0.0000  4 Br 2.42

Properties
Its distance to the lowest polymorph of the same formula is 13.5 kJ/mol of atoms. The value obtained for the density of states at the Fermi level is 7.0 states/eV/cell. The total magnetization is 3.0 μB per formula unit. As for the uncorrected formation energy: 0.19 eV per atom. The symmetry is I-42d (122).